Computed, not measured: a relaxed MnAl2BO6 crystal at the PBE+U level of DFT.

Values from the calculation:
magnetization = 3.987 μB per formula unit
crystal system = monoclinic
space group = C2/c
density = 3543 kg/m³
energy = -7.510 eV per atom

Cell: 6.668 6.668 5.088 Å, 105.79 105.79 99.61°
Atoms (fractional coordinates):
1 Mn 0.099 0.901 0.750
2 Mn 0.901 0.099 0.250
3 Al 0.279 0.459 0.844
4 Al 0.459 0.279 0.344
5 Al 0.541 0.721 0.656
6 Al 0.721 0.541 0.156
7 B 0.180 0.820 0.250
8 B 0.820 0.180 0.750
9 O 0.032 0.206 0.679
10 O 0.151 0.664 0.974
11 O 0.206 0.032 0.179
12 O 0.308 0.441 0.503
13 O 0.336 0.849 0.526
14 O 0.441 0.308 0.003
15 O 0.559 0.692 0.997
16 O 0.664 0.151 0.474
17 O 0.692 0.559 0.497
18 O 0.794 0.968 0.821
19 O 0.849 0.336 0.026
20 O 0.968 0.794 0.321